Below is a relaxed La3Tb6Nd2 crystal, with properties calculated at the GGA-PBE level.

POSCAR file:
```
La3Tb6Nd2
1.0
2.9714 -5.8100 0.0000
2.9714 5.8100 0.0000
-1.4877 0.0000 11.0562
La Tb Nd
3 6 2
Cartesian
0.0000 0.0000 0.0000
2.9714 2.1143 0.0000
2.9714 -2.1143 0.0000
2.1812 3.9979 3.1819
2.2738 3.9979 7.8743
2.1548 0.0000 2.5743
2.3002 0.0000 8.4819
2.1812 -3.9979 3.1819
2.2738 -3.9979 7.8743
2.2275 1.6194 5.5281
2.2275 -1.6194 5.5281
```

Summary:
Formation energy ... 0.1548 eV per atom
Space group ... C2/m, No. 12
M_tot ... 0.00 Bohr magnetons per cell
ρ ... 7.22 g/cm³
Calculated total energy ... -50.397 eV per formula unit